No. 1
The following is a PBE calculation of crystalline Rb2GaHg at its relaxed geometry, from the Alexandria database.

Output
D(E_F)	3.73	states/eV/f.u.
symmetry	R-3m, No. 166
excess energy over the best structure of this formula in the dataset	171	meV per atom
energy of formation	0.27	eV/atom

Cell: 4.0939 4.0939 37.9041 Å, 90.00 90.00 120.00°
With the nearest neighbours (Å) after each atom.
Element x y z (fractional)
Rb1 0.0000 0.0000 0.0918  1 Ga 3.48, 3 Hg 3.69
Rb2 0.0000 0.0000 0.9082  1 Ga 3.48, 3 Hg 3.69
Rb3 0.3333 0.6667 0.5749  1 Ga 3.48, 3 Hg 3.69
Rb4 0.3333 0.6667 0.7585  1 Ga 3.48, 3 Hg 3.69
Rb5 0.6667 0.3333 0.2415  1 Ga 3.48, 3 Hg 3.69
Rb6 0.6667 0.3333 0.4251  1 Ga 3.48, 3 Hg 3.69
Ga1 0.0000 0.0000 0.0000  2 Rb 3.48
Ga2 0.3333 0.6667 0.6667  2 Rb 3.48
Ga3 0.6667 0.3333 0.3333  2 Rb 3.48
Hg1 0.0000 0.0000 0.5000  6 Rb 3.69, 6 Hg 4.09
Hg2 0.3333 0.6667 0.1667  6 Rb 3.69, 6 Hg 4.09
Hg3 0.6667 0.3333 0.8333  6 Rb 3.69, 6 Hg 4.09


No. 2
The following is a PBE calculation of crystalline RbGa3Hg3 at its relaxed geometry, from the Alexandria database.

Output
D(E_F)	5.58	states/eV/f.u.
symmetry	Pm-3n, No. 223
energy of formation	0.04	eV/atom

Cell: 7.6699 7.6699 7.6699 Å, 90.00 90.00 90.00°
With the nearest neighbours (Å) after each atom.
Element x y z (fractional)
Rb1 0.0000 0.0000 0.0000  12 Hg 4.29, 12 Ga 4.29
Rb2 0.5000 0.5000 0.5000  12 Hg 4.29, 12 Ga 4.29
Ga1 0.0000 0.2500 0.5000  4 Hg 2.71
Ga2 0.0000 0.7500 0.5000  4 Hg 2.71
Ga3 0.2500 0.5000 0.0000  4 Hg 2.71
Ga4 0.5000 0.0000 0.2500  4 Hg 2.71
Ga5 0.5000 0.0000 0.7500  4 Hg 2.71
Ga6 0.7500 0.5000 0.0000  4 Hg 2.71
Hg1 0.0000 0.5000 0.2500  4 Ga 2.71
Hg2 0.0000 0.5000 0.7500  4 Ga 2.71
Hg3 0.2500 0.0000 0.5000  4 Ga 2.71
Hg4 0.5000 0.2500 0.0000  4 Ga 2.71
Hg5 0.5000 0.7500 0.0000  4 Ga 2.71
Hg6 0.7500 0.0000 0.5000  4 Ga 2.71


No. 3
The following is a PBE calculation of crystalline Rb4GaHg2 at its relaxed geometry, from the Alexandria database.

Output
D(E_F)	4.23	states/eV/f.u.
symmetry	I4/mmm, No. 139
energy of formation	0.03	eV/atom

Cell: 6.9347 6.9347 17.5661 Å, 90.00 90.00 90.00°
With the nearest neighbours (Å) after each atom.
Element x y z (fractional)
Rb1 0.0000 0.0000 0.2036  1 Ga 3.58, 1 Hg 3.65
Rb2 0.0000 0.0000 0.7964  1 Ga 3.58, 1 Hg 3.65
Rb3 0.0000 0.5000 0.0000  2 Ga 3.47, 4 Hg 3.80
Rb4 0.0000 0.5000 0.5000  2 Ga 3.47, 4 Hg 3.80
Rb5 0.5000 0.0000 0.0000  2 Ga 3.47, 4 Hg 3.80
Rb6 0.5000 0.0000 0.5000  2 Ga 3.47, 4 Hg 3.80
Rb7 0.5000 0.5000 0.2964  1 Ga 3.58, 1 Hg 3.65
Rb8 0.5000 0.5000 0.7036  1 Ga 3.58, 1 Hg 3.65
Ga1 0.0000 0.0000 0.0000  6 Rb 3.47-3.58
Ga2 0.5000 0.5000 0.5000  6 Rb 3.47-3.58
Hg1 0.0000 0.0000 0.4113  1 Hg 3.12
Hg2 0.0000 0.0000 0.5887  1 Hg 3.12
Hg3 0.5000 0.5000 0.0887  1 Hg 3.12
Hg4 0.5000 0.5000 0.9113  1 Hg 3.12


No. 4
The following is a PBE calculation of crystalline RbGa2HgRu at its relaxed geometry, from the Alexandria database.

Output
D(E_F)	2.58	states/eV/f.u.
symmetry	P4/mmm, No. 123
energy of formation	-0.16	eV/atom

Cell: 4.8765 4.8765 5.4553 Å, 90.00 90.00 90.00°
With the nearest neighbours (Å) after each atom.
Element x y z (fractional)
Rb1 0.0000 0.0000 0.0000  4 Hg 3.45, 8 Ga 3.66
Ga1 0.0000 0.5000 0.5000  2 Ru 2.44
Ga2 0.5000 0.0000 0.5000  2 Ru 2.44
Hg1 0.5000 0.5000 0.0000  2 Ru 2.73
Ru1 0.5000 0.5000 0.5000  4 Ga 2.44, 2 Hg 2.73


No. 5
The following is a PBE calculation of crystalline RbGaHg2S4 at its relaxed geometry, from the Alexandria database.

Output
D(E_F)	4.73	states/eV/f.u.
symmetry	I-42m, No. 121
uncorrected formation energy	-0.515	eV/atom

Cell: 6.8084 6.8084 9.1319 Å, 90.00 90.00 90.00°
With the nearest neighbours (Å) after each atom.
Element x y z (fractional)
Rb1 0.0000 0.0000 0.0000  4 S 3.19
Rb2 0.5000 0.5000 0.5000  4 S 3.19
Ga1 0.0000 0.0000 0.5000  4 S 2.29
Ga2 0.5000 0.5000 0.0000  4 S 2.29
Hg1 0.0000 0.5000 0.2500  4 S 2.65
Hg2 0.0000 0.5000 0.7500  4 S 2.65
Hg3 0.5000 0.0000 0.2500  4 S 2.65
Hg4 0.5000 0.0000 0.7500  4 S 2.65
S1 0.1966 0.1966 0.6414  1 Ga 2.29
S2 0.1966 0.8034 0.3586  1 Ga 2.29
S3 0.3034 0.3034 0.1414  1 Ga 2.29
S4 0.3034 0.6966 0.8586  1 Ga 2.29
S5 0.6966 0.3034 0.8586  1 Ga 2.29
S6 0.6966 0.6966 0.1414  1 Ga 2.29
S7 0.8034 0.1966 0.3586  1 Ga 2.29
S8 0.8034 0.8034 0.6414  1 Ga 2.29


No. 6
The following is a PBE calculation of crystalline RbGaHg2Sb at its relaxed geometry, from the Alexandria database.

Output
D(E_F)	1.51	states/eV/f.u.
symmetry	P4/mmm, No. 123
uncorrected formation energy	-0.074	eV/atom

Cell: 5.6657 5.6657 5.4595 Å, 90.00 90.00 90.00°
With the nearest neighbours (Å) after each atom.
Element x y z (fractional)
Rb1 0.0000 0.0000 0.0000  8 Hg 3.93, 4 Sb 4.01
Ga1 0.5000 0.5000 0.5000  2 Sb 2.73, 4 Hg 2.83
Hg1 0.0000 0.5000 0.5000  2 Ga 2.83
Hg2 0.5000 0.0000 0.5000  2 Ga 2.83
Sb1 0.5000 0.5000 0.0000  2 Ga 2.73